Rb2TbCo3F12 | PBE+U | relaxed

space-group type	R-3m (166)
uncorrected energy	-5.151	eV per atom
size of the total moment	10.0	Bohr magnetons per cell
density	4.0	g/cm³

Lattice parameters (Å, degrees): 7.568 7.568 7.568 59.53 59.53 59.53
Site moments in Bohr magnetons follow the coordinates.
Positions (direct):
Rb  0.613  0.613  0.613  0.00
Rb  0.387  0.387  0.387  0.00
Tb  0.000  0.000  0.000  0.01
Co  0.500  0.000  0.000  2.99
Co  0.000  0.500  0.000  2.99
Co  0.000  0.000  0.500  2.99
F  0.308  0.308  0.920  0.10
F  0.911  0.911  0.353  0.04
F  0.353  0.911  0.911  0.04
F  0.920  0.308  0.308  0.10
F  0.911  0.353  0.911  0.04
F  0.308  0.920  0.308  0.10
F  0.692  0.692  0.080  0.10
F  0.089  0.089  0.647  0.04
F  0.647  0.089  0.089  0.04
F  0.080  0.692  0.692  0.10
F  0.089  0.647  0.089  0.04
F  0.692  0.080  0.692  0.10